1.
Entry from Alexandria: an optimized crystal structure of PrYTm2Se4 (PBE-GGA).

- SG = P2/m, No. 10
- formation energy without anion corrections (meV/atom) = -1732

Lattice parameters (Å, degrees): 7.030 4.024 7.265 90.00 108.53 90.00
Fractional coordinates of all 8 atoms:
Pr: 0.000 0.000 0.000
Y: 0.500 0.500 0.000
Tm: 0.000 0.500 0.500
Tm: 0.500 0.000 0.500
Se: 0.252 0.000 0.737
Se: 0.262 0.500 0.268
Se: 0.738 0.500 0.732
Se: 0.748 0.000 0.263

***

2.
Entry from Alexandria: an optimized crystal structure of Pr2YTmSe6 (PBE-GGA).

- SG = R3, No. 146
- formation energy without anion corrections (meV/atom) = -1842

Lattice parameters (Å, degrees): 7.764 7.764 7.764 56.64 56.64 56.64
Fractional coordinates of all 10 atoms:
Pr: 0.000 0.000 0.000
Pr: 0.500 0.500 0.500
Y: 0.202 0.202 0.202
Tm: 0.702 0.702 0.702
Se: 0.079 0.819 0.422
Se: 0.322 0.583 0.918
Se: 0.422 0.079 0.819
Se: 0.583 0.918 0.322
Se: 0.819 0.422 0.079
Se: 0.918 0.322 0.583

***

3.
Entry from Alexandria: an optimized crystal structure of Pr4Y3TmSe8 (PBE-GGA).

- SG = R-3m, No. 166
- formation energy without anion corrections (meV/atom) = -1796

Lattice parameters (Å, degrees): 8.456 8.456 8.456 58.20 58.20 58.20
Fractional coordinates of all 16 atoms:
Pr: 0.000 0.000 0.000
Pr: 0.000 0.500 0.500
Pr: 0.500 0.000 0.500
Pr: 0.500 0.500 0.000
Y: 0.000 0.000 0.500
Y: 0.000 0.500 0.000
Y: 0.500 0.000 0.000
Tm: 0.500 0.500 0.500
Se: 0.244 0.244 0.244
Se: 0.247 0.742 0.742
Se: 0.258 0.258 0.753
Se: 0.258 0.753 0.258
Se: 0.742 0.247 0.742
Se: 0.742 0.742 0.247
Se: 0.753 0.258 0.258
Se: 0.756 0.756 0.756

***

4.
Entry from Alexandria: an optimized crystal structure of Pr2TmZnSe5 (PBE-GGA).

- SG = Cmc2_1, No. 36
- formation energy without anion corrections (meV/atom) = -1593

Lattice parameters (Å, degrees): 9.170 9.170 12.487 90.00 90.00 154.60
Fractional coordinates of all 18 atoms:
Pr: 0.115 0.885 0.500
Pr: 0.131 0.869 0.131
Pr: 0.869 0.131 0.631
Pr: 0.885 0.115 0.000
Tm: 0.199 0.801 0.832
Tm: 0.801 0.199 0.332
Zn: 0.447 0.553 0.266
Zn: 0.553 0.447 0.766
Se: 0.045 0.955 0.876
Se: 0.288 0.712 0.489
Se: 0.313 0.687 0.172
Se: 0.356 0.644 0.819
Se: 0.496 0.504 0.592
Se: 0.504 0.496 0.092
Se: 0.644 0.356 0.319
Se: 0.687 0.313 0.672
Se: 0.712 0.288 0.989
Se: 0.955 0.045 0.376

***

5.
Entry from Alexandria: an optimized crystal structure of PrUSe3 (PBE-GGA).

- SG = C2/m, No. 12
- formation energy without anion corrections (meV/atom) = -1462
- E above lowest polymorph (meV/atom) = 54.1

Lattice parameters (Å, degrees): 7.870 7.870 9.117 92.77 92.77 30.09
Fractional coordinates of all 10 atoms:
Pr: 0.111 0.111 0.078
Pr: 0.889 0.889 0.922
U: 0.321 0.321 0.356
U: 0.679 0.679 0.644
Se: 0.138 0.138 0.433
Se: 0.248 0.248 0.839
Se: 0.466 0.466 0.166
Se: 0.534 0.534 0.834
Se: 0.752 0.752 0.161
Se: 0.862 0.862 0.567

***

6.
Entry from Alexandria: an optimized crystal structure of Pr4USe5 (PBE-GGA).

- SG = I4/mmm, No. 139
- formation energy without anion corrections (meV/atom) = -1659

Lattice parameters (Å, degrees): 15.273 15.273 15.273 164.10 164.10 22.56
Fractional coordinates of all 10 atoms:
Pr: 0.100 0.100 0.000
Pr: 0.304 0.304 0.000
Pr: 0.696 0.696 0.000
Pr: 0.900 0.900 0.000
U: 0.500 0.500 0.000
Se: 0.000 0.000 0.000
Se: 0.202 0.202 0.000
Se: 0.403 0.403 0.000
Se: 0.597 0.597 0.000
Se: 0.798 0.798 0.000

***

7.
Entry from Alexandria: an optimized crystal structure of PrUSe (PBE-GGA).

- SG = C2/m, No. 12
- formation energy without anion corrections (meV/atom) = -744

Lattice parameters (Å, degrees): 8.498 8.498 5.078 101.06 101.06 24.91
Fractional coordinates of all 6 atoms:
Pr: 0.082 0.082 0.285
Pr: 0.918 0.918 0.715
U: 0.242 0.242 0.827
U: 0.758 0.758 0.173
Se: 0.410 0.410 0.201
Se: 0.590 0.590 0.799

***

8.
Entry from Alexandria: an optimized crystal structure of Pr6USe12 (PBE-GGA).

- SG = R-3, No. 148
- formation energy without anion corrections (meV/atom) = -1670

Lattice parameters (Å, degrees): 8.457 8.457 8.457 98.70 98.70 98.70
Fractional coordinates of all 19 atoms:
Pr: 0.139 0.820 0.643
Pr: 0.180 0.357 0.861
Pr: 0.357 0.861 0.180
Pr: 0.643 0.139 0.820
Pr: 0.820 0.643 0.139
Pr: 0.861 0.180 0.357
U: 0.500 0.500 0.500
Se: 0.073 0.921 0.324
Se: 0.079 0.676 0.927
Se: 0.182 0.434 0.521
Se: 0.324 0.073 0.921
Se: 0.434 0.521 0.182
Se: 0.479 0.818 0.566
Se: 0.521 0.182 0.434
Se: 0.566 0.479 0.818
Se: 0.676 0.927 0.079
Se: 0.818 0.566 0.479
Se: 0.921 0.324 0.073
Se: 0.927 0.079 0.676

***

9.
Entry from Alexandria: an optimized crystal structure of PrUSe3 (PBE-GGA).

- SG = Pnma, No. 62
- formation energy without anion corrections (meV/atom) = -1516
- E above lowest polymorph (meV/atom) = 0.0

Lattice parameters (Å, degrees): 7.807 4.152 16.220 90.00 90.00 90.00
Fractional coordinates of all 20 atoms:
Pr: 0.118 0.250 0.204
Pr: 0.382 0.750 0.704
Pr: 0.618 0.250 0.296
Pr: 0.882 0.750 0.796
U: 0.234 0.750 0.461
U: 0.266 0.250 0.961
U: 0.734 0.750 0.039
U: 0.766 0.250 0.539
Se: 0.007 0.250 0.397
Se: 0.123 0.750 0.066
Se: 0.165 0.250 0.784
Se: 0.335 0.750 0.284
Se: 0.377 0.250 0.566
Se: 0.493 0.750 0.897
Se: 0.507 0.250 0.103
Se: 0.623 0.750 0.434
Se: 0.665 0.250 0.716
Se: 0.835 0.750 0.216
Se: 0.877 0.250 0.934
Se: 0.993 0.750 0.603

***

10.
Entry from Alexandria: an optimized crystal structure of PrU2Se4 (PBE-GGA).

- SG = Cmcm, No. 63
- formation energy without anion corrections (meV/atom) = -1301
- E above lowest polymorph (meV/atom) = 28.1

Lattice parameters (Å, degrees): 7.060 7.060 14.033 90.00 90.00 147.11
Fractional coordinates of all 14 atoms:
Pr: 0.113 0.887 0.750
Pr: 0.887 0.113 0.250
U: 0.363 0.637 0.563
U: 0.363 0.637 0.937
U: 0.637 0.363 0.063
U: 0.637 0.363 0.437
Se: 0.000 0.000 0.000
Se: 0.000 0.000 0.500
Se: 0.277 0.723 0.126
Se: 0.277 0.723 0.374
Se: 0.448 0.552 0.750
Se: 0.552 0.448 0.250
Se: 0.723 0.277 0.626
Se: 0.723 0.277 0.874

***

11.
Entry from Alexandria: an optimized crystal structure of Pr2USe3 (PBE-GGA).

- SG = Cmmm, No. 65
- formation energy without anion corrections (meV/atom) = -1367

Lattice parameters (Å, degrees): 7.645 7.645 4.190 90.00 90.00 134.61
Fractional coordinates of all 6 atoms:
Pr: 0.147 0.853 0.000
Pr: 0.853 0.147 0.000
U: 0.500 0.500 0.500
Se: 0.000 0.000 0.500
Se: 0.356 0.644 0.000
Se: 0.644 0.356 0.000

***

12.
Entry from Alexandria: an optimized crystal structure of Pr2U2Se7 (PBE-GGA).

- SG = Imm2, No. 44
- formation energy without anion corrections (meV/atom) = -1462

Lattice parameters (Å, degrees): 9.008 9.008 9.008 153.34 67.38 119.40
Fractional coordinates of all 11 atoms:
Pr: 0.239 0.000 0.239
Pr: 0.761 0.000 0.761
U: 0.244 0.244 0.000
U: 0.696 0.196 0.500
Se: 0.068 0.698 0.370
Se: 0.329 0.698 0.630
Se: 0.416 0.521 0.895
Se: 0.619 0.299 0.321
Se: 0.626 0.521 0.105
Se: 0.925 0.925 0.000
Se: 0.978 0.299 0.679